An optimized crystal structure of CdBiSb. Source: the Alexandria database, functional PBE-GGA.

## Properties
**Final energy**: -17.335 eV for the cell shown
**Volume**: 29.1 Å³/atom
**Energy above the most stable polymorph in this dataset**: 35.0 meV/atom
**SG**: Cm (8)
**ΔE_f (raw)**: 0.25 eV per formula unit

Structure (POSCAR):
```
CdBiSb
1.0
4.4383 0.0000 -0.0523
0.0000 5.8502 0.0000
-1.8802 0.0000 6.7422
Sb Bi Cd
2 2 2
Cartesian
1.4015 0.0000 2.1427
0.4614 2.9251 5.5138
1.6154 0.0000 6.4301
2.5555 2.9251 3.0590
-0.6893 0.0000 4.2457
0.2508 2.9251 0.8747
```